A plane-wave DFT calculation with PBE+U was carried out for a relaxed structure of MnSeIO2.

abc: 3.960 3.960 6.933
angles: 90.00 90.00 90.00
Positions (direct):
Mn  0.000  0.000  0.000
Se  0.500  0.500  0.500
I  0.500  0.500  0.000
O  0.000  0.500  0.500
O  0.500  0.000  0.500

Relative energy among the computed polymorphs = 0.282 eV per atom